Entry 1:
A geometry-optimized Ga2Co4Ge3 structure, computed with PBE.

Its space group is C2/c (15). The calculation puts the calculated total energy at -5.396 eV/atom.

The structure in extended XYZ format:
```
18
Lattice="4.619 -4.226 0.000 4.619 4.226 0.000 -1.732 0.000 6.370" Properties=species:S:1:pos:R:3 pbc="T T T"
Ga 1.653 1.225 0.890
Ga 0.787 -1.225 4.075
Ga 6.719 1.225 2.295
Ga 5.853 -1.225 5.480
Co 2.897 3.307 3.596
Co 3.744 3.307 5.959
Co 4.070 1.125 0.308
Co 4.302 1.125 2.877
Co 3.204 -1.125 3.493
Co 3.436 -1.125 6.062
Co 3.763 -3.307 0.411
Co 4.610 -3.307 2.774
Ge 4.186 3.092 1.592
Ge 2.166 0.983 3.951
Ge 3.032 -0.983 0.766
Ge 4.475 0.983 5.604
Ge 5.341 -0.983 2.419
Ge 3.320 -3.092 4.777
```

---

Entry 2:
A geometry-optimized YSnTe2 structure, computed with PBE.

Its space group is I-42d (122). The calculation puts the calculated total energy at -4.649 eV/atom. The value obtained for the energy relative to the elements, uncorrected is -0.46 eV/atom.

The structure in extended XYZ format:
```
8
Lattice="-3.667 3.667 6.491 3.667 -3.667 6.491 3.667 3.667 -6.491" Properties=species:S:1:pos:R:3 pbc="T T T"
Y 0.000 0.000 0.000
Y 0.000 3.667 3.246
Sn 3.667 0.000 3.246
Sn 0.000 0.000 6.491
Te 5.500 1.681 -1.623
Te 1.681 1.833 1.623
Te -1.833 1.986 4.868
Te 1.986 1.833 8.114
```

---

Entry 3:
A geometry-optimized YTa2V structure, computed with PBE.

Its space group is Fm-3m (225). The calculation puts the calculated total energy at -9.282 eV/atom. As for the energy above the most stable polymorph in this dataset: 0 meV per atom.

The structure in extended XYZ format:
```
4
Lattice="0.000 3.365 3.365 3.365 0.000 3.365 3.365 3.365 0.000" Properties=species:S:1:pos:R:3 pbc="T T T"
Y 0.000 0.000 0.000
Ta 1.683 1.683 1.683
Ta 5.048 5.048 5.048
V 3.365 3.365 3.365
```

---

Entry 4:
A geometry-optimized CsHfTi2Al structure, computed with PBE.

Its space group is P4/mmm (123). The calculation puts the calculated total energy at -4.417 eV/atom.

The structure in extended XYZ format:
```
5
Lattice="5.083 0.000 0.000 0.000 5.083 0.000 0.000 0.000 6.072" Properties=species:S:1:pos:R:3 pbc="T T T"
Cs 0.000 0.000 0.000
Hf 0.000 0.000 3.036
Ti 0.000 2.541 3.036
Ti 2.541 0.000 3.036
Al 2.541 2.541 0.000
```

---

Entry 5:
A geometry-optimized Zn3WSe structure, computed with PBE.

Its space group is Pm-3m (221). The calculation puts the calculated total energy at -2.791 eV/atom. As for the energy above the most stable polymorph in this dataset: 0 meV per atom. The value obtained for the energy relative to the elements, uncorrected is 1.26 eV/atom.

The structure in extended XYZ format:
```
5
Lattice="4.988 0.000 0.000 0.000 4.988 0.000 0.000 0.000 4.988" Properties=species:S:1:pos:R:3 pbc="T T T"
Zn 0.000 0.000 2.494
Zn 0.000 2.494 0.000
Zn 2.494 0.000 0.000
W 0.000 0.000 0.000
Se 2.494 2.494 2.494
```

---

Entry 6:
A geometry-optimized Ho8Te4SeS3 structure, computed with PBE.

Its space group is R-3m (166). The calculation puts the calculated total energy at -5.665 eV/atom. The value obtained for the energy relative to the elements, uncorrected is -1.60 eV/atom.

The structure in extended XYZ format:
```
16
Lattice="4.098 2.366 6.890 -4.098 2.366 6.890 0.000 -4.732 6.890" Properties=species:S:1:pos:R:3 pbc="T T T"
Ho -2.113 -1.220 11.745
Ho 0.000 0.000 4.837
Ho 0.000 -2.440 8.926
Ho -2.113 1.220 8.926
Ho 2.113 -1.220 11.745
Ho 0.000 2.440 11.745
Ho 0.000 0.000 15.833
Ho 2.113 1.220 8.926
Te 0.000 0.000 0.000
Te -2.049 -1.183 6.890
Te -2.049 1.183 13.781
Te 0.000 2.366 6.890
Se 0.000 0.000 10.335
S -4.098 0.000 10.335
S -2.049 1.183 3.445
S 2.049 1.183 3.445
```